TbTh4Zn5: relaxed, PBE.

```
10
Lattice="-0.793 -0.152 3.558 -2.605 -2.461 -0.686 12.152 -13.460 2.133" Properties=species:S:1:pos:R:3 pbc="T T T"
Zn 4.377 -8.037 2.503
Th 9.752 -10.801 1.712
Th 2.400 -2.658 0.421
Th 7.301 -8.087 1.282
Zn 9.335 -13.528 3.373
Zn -0.581 -2.545 1.632
Zn 1.924 -5.320 2.072
Tb 0.000 0.000 0.000
Zn 6.830 -10.753 2.933
Th 4.851 -5.373 0.851
```

## Properties
For the final energy, the calculation gives -4.28 eV per atom. As for the magnetic moment: 0.0 μB/f.u.